[1]
CsFeSb2Te | PBE | relaxed Values from VASP.

```
&SYSTEM
  ibrav = 0, nat = 5, ntyp = 4
/
ATOMIC_SPECIES
Sb 121.76 Sb.upf
Fe 55.84 Fe.upf
Te 127.60 Te.upf
Cs 132.91 Cs.upf
CELL_PARAMETERS angstrom
-1.6947 1.9262 -4.2843
-4.0992 -2.8306 0.3489
-2.7825 4.4096 3.0831
ATOMIC_POSITIONS angstrom
Sb -0.8473 0.9631 -2.1422
Fe 0.0000 0.0000 0.0000
Te -1.3913 2.2048 1.5416
Cs -4.2882 1.7526 -0.4262
Sb -2.0496 -1.4153 0.1744
```

Output
Raw total energy ... -3.994 eV/atom
ρ ... 6.15 g cm⁻³
Magnetization ... 0.00 μB/f.u.
Fermi-level density of states ... 9.64 states/eV per cell

---

[2]
CsSc2Fe | PBE | relaxed Values from VASP.

```
&SYSTEM
  ibrav = 0, nat = 4, ntyp = 3
/
ATOMIC_SPECIES
Sc 44.96 Sc.upf
Cs 132.91 Cs.upf
Fe 55.84 Fe.upf
CELL_PARAMETERS angstrom
2.1275 0.0000 10.2568
-1.0637 1.8424 10.2568
-1.0637 -1.8424 10.2568
ATOMIC_POSITIONS angstrom
Sc 0.0000 0.0000 26.9969
Cs 0.0000 0.0000 0.0000
Sc 0.0000 0.0000 3.7736
Fe 0.0000 0.0000 15.3852
```

Output
Polymorph energy (0 for the lowest one) ... 0 meV/atom
Raw total energy ... -5.074 eV/atom
ρ ... 3.84 g cm⁻³
Magnetization ... 0.46 μB/f.u.
Formation energy ... 0.4207 eV/atom
Fermi-level density of states ... 5.54 states/eV per cell

---

[3]
CsSc2Fe | PBE | relaxed Values from VASP.

```
&SYSTEM
  ibrav = 0, nat = 8, ntyp = 3
/
ATOMIC_SPECIES
Cs 132.91 Cs.upf
Sc 44.96 Sc.upf
Fe 55.84 Fe.upf
CELL_PARAMETERS angstrom
-5.5001 -5.0058 0.8678
4.6209 -4.3974 3.9207
-1.9326 -2.2866 6.8626
ATOMIC_POSITIONS angstrom
Cs 0.0000 0.0000 0.0000
Sc -3.3739 -8.8434 8.3567
Fe -0.4396 -4.7016 2.3943
Sc -1.9681 -2.9985 2.5312
Cs -3.9361 -5.9970 5.0623
Fe 1.1243 -5.6928 6.5888
Sc -0.6239 -6.3405 7.9228
Sc 0.3424 -5.1972 4.4915
```

Output
Polymorph energy (0 for the lowest one) ... 201 meV/atom
Raw total energy ... -4.873 eV/atom
ρ ... 3.12 g cm⁻³
Magnetization ... 0.00 μB/f.u.
Formation energy ... 0.6221 eV/atom
Fermi-level density of states ... 11.30 states/eV per cell

---

[4]
CsSc2FeSe | PBE | relaxed Values from VASP.

```
&SYSTEM
  ibrav = 0, nat = 5, ntyp = 4
/
ATOMIC_SPECIES
Se 78.96 Se.upf
Sc 44.96 Sc.upf
Fe 55.84 Fe.upf
Cs 132.91 Cs.upf
CELL_PARAMETERS angstrom
-1.2793 0.8166 4.6524
-5.1623 -1.2310 -1.2034
0.8718 -4.6964 1.0641
ATOMIC_POSITIONS angstrom
Se -2.7849 -2.5554 2.2566
Sc -0.6396 0.4083 2.3262
Sc 0.4359 -2.3482 0.5320
Fe 0.0000 0.0000 0.0000
Cs -2.5812 -0.6155 -0.6017
```

Output
Raw total energy ... -4.810 eV/atom
ρ ... 4.56 g cm⁻³
Magnetization ... 0.00 μB/f.u.
Fermi-level density of states ... 3.53 states/eV per cell

---

[5]
CsScFeSe3 | PBE | relaxed Values from VASP.

```
&SYSTEM
  ibrav = 0, nat = 12, ntyp = 4
/
ATOMIC_SPECIES
Sc 44.96 Sc.upf
Fe 55.84 Fe.upf
Cs 132.91 Cs.upf
Se 78.96 Se.upf
CELL_PARAMETERS angstrom
-0.9586 3.8487 -0.2526
-1.2124 0.3248 9.5493
9.3622 2.1269 -3.1223
ATOMIC_POSITIONS angstrom
Sc 6.9297 4.8259 0.3332
Fe 5.2139 2.2456 -1.2037
Cs 1.7600 1.5477 1.2698
Sc 0.2615 1.4745 5.8412
Fe 1.9773 4.0548 7.3781
Se 7.5533 2.8117 -1.4562
Se -0.3621 3.4887 7.6306
Se 4.1783 4.1232 0.0671
Se 3.0129 2.1773 6.1073
Cs 5.4312 4.7528 4.9046
Se 7.0776 2.9385 2.2795
Se 0.1136 3.3620 3.8949
```

Output
Raw total energy ... -5.504 eV/atom
ρ ... 4.45 g cm⁻³
Magnetization ... 3.83 μB/f.u.
Fermi-level density of states ... 5.10 states/eV per cell

---

[6]
CsFe4Se8 | PBE | relaxed Values from VASP.

```
&SYSTEM
  ibrav = 0, nat = 13, ntyp = 3
/
ATOMIC_SPECIES
Cs 132.91 Cs.upf
Se 78.96 Se.upf
Fe 55.84 Fe.upf
CELL_PARAMETERS angstrom
6.5164 0.0000 2.1929
2.8892 5.8409 2.1929
0.3214 0.1996 9.8236
ATOMIC_POSITIONS angstrom
Cs 4.8635 3.0202 7.1047
Se 2.7026 1.6783 2.7473
Se 7.0244 4.3621 11.4620
Se 3.7609 4.3675 10.3813
Se 7.4169 4.6059 4.9292
Fe 0.0000 0.0000 0.0000
Se 4.1447 4.6059 3.8281
Fe 4.7028 2.9204 2.1929
Se 5.5823 1.4345 10.3813
Fe 1.4446 2.9204 1.0964
Se 2.3100 1.4345 9.2801
Fe 3.2582 0.0000 1.0964
Se 5.9661 1.6729 3.8281
```

Output
Raw total energy ... -5.211 eV/atom
ρ ... 4.46 g cm⁻³
Magnetization ... 6.40 μB/f.u.
Fermi-level density of states ... 9.30 states/eV per cell